DFT (GGA-PBE) results for a relaxed TbGe2Pd7Pb2 crystal.

Cell lengths 4.0912, 4.0912, 14.2006 Å; angles 84.19, 84.19, 89.33 degrees
Fractional coordinates of all 12 atoms:
Pd (0.3661, 0.3661, 0.4279)
Pd (0.5000, 0.5000, 0.0000)
Pd (0.5530, 0.0532, 0.8486)
Ge (0.5880, 0.5880, 0.7478)
Ge (0.4120, 0.4120, 0.2522)
Pd (0.0532, 0.5530, 0.8486)
Pd (0.4470, 0.9468, 0.1514)
Pd (0.6339, 0.6339, 0.5721)
Pb (0.8892, 0.8892, 0.3789)
Tb (0.0000, 0.0000, 0.0000)
Pd (0.9468, 0.4470, 0.1514)
Pb (0.1108, 0.1108, 0.6211)

Results
- Volume: 19.60 Å³ per atom
- DOS(E_F): 0.300 states/eV/atom
- Energy of formation from the pure elements: -0.463 eV/atom
- M_tot: 0.0 Bohr magnetons per cell
- E_tot: -5.265 eV/atom

=====

DFT (GGA-PBE) results for a relaxed Nd2HoSe2S2 crystal.

Cell lengths 5.0541, 5.0541, 8.2953 Å; angles 107.74, 107.74, 90.00 degrees
Fractional coordinates of all 7 atoms:
Nd (0.3765, 0.3765, 0.7531)
S (0.5000, 0.0000, 0.0000)
Se (0.1855, 0.1855, 0.3710)
Ho (0.0000, 0.0000, 0.0000)
Nd (0.6235, 0.6235, 0.2469)
S (0.0000, 0.5000, 0.0000)
Se (0.8145, 0.8145, 0.6290)

Results
- Volume: 27.32 Å³ per atom
- DOS(E_F): 0.398 states/eV/atom
- M_tot: 0.0 Bohr magnetons per cell
- E_tot: -5.827 eV/atom

=====

DFT (GGA-PBE) results for a relaxed TcIrRu2 crystal.

Cell lengths 4.5496, 2.7035, 4.7911 Å; angles 87.84, 90.00, 90.00 degrees
Fractional coordinates of all 4 atoms:
Ru (0.0000, 0.5920, 0.4987)
Ir (0.5000, 0.7500, 0.7500)
Ru (0.0000, 0.9080, 0.0013)
Tc (0.5000, 0.2500, 0.2500)

Results
- Polymorph energy (0 for the lowest one): 506 meV/atom
- Volume: 14.72 Å³ per atom
- DOS(E_F): 1.607 states/eV/atom
- Energy of formation from the pure elements: 0.370 eV/atom
- M_tot: 0.0 Bohr magnetons per cell
- E_tot: -9.074 eV/atom

=====

DFT (GGA-PBE) results for a relaxed As3C crystal.

Cell lengths 7.0302, 7.0302, 6.1364 Å; angles 90.00, 90.00, 120.00 degrees
Fractional coordinates of all 16 atoms:
As (0.7172, 0.8586, 0.7500)
As (0.0000, 0.5000, 0.0000)
As (0.5000, 0.5000, 0.0000)
As (0.1414, 0.2828, 0.7500)
As (0.5000, 0.5000, 0.5000)
C (0.0000, 0.0000, 0.5000)
As (0.1414, 0.8586, 0.7500)
C (0.3333, 0.6667, 0.2500)
As (0.2828, 0.1414, 0.2500)
As (0.5000, 0.0000, 0.0000)
As (0.0000, 0.5000, 0.5000)
C (0.6667, 0.3333, 0.7500)
C (0.0000, 0.0000, 0.0000)
As (0.8586, 0.1414, 0.2500)
As (0.5000, 0.0000, 0.5000)
As (0.8586, 0.7172, 0.2500)

Results
- Polymorph energy (0 for the lowest one): 610 meV/atom
- Volume: 16.42 Å³ per atom
- DOS(E_F): 0.446 states/eV/atom
- Energy of formation from the pure elements: 1.151 eV/atom
- M_tot: 0.0 Bohr magnetons per cell
- E_tot: -4.643 eV/atom